Computed, not measured: a relaxed TcAsIN2 crystal at the GGA-PBE level of DFT.

abc: 3.927 3.927 5.859
angles: 90.00 90.00 90.00
Space group P4/mmm (No. 123)
Symmetry-distinct sites (fractional):
Tc 0.000 0.000 0.000 (multiplicity 1)
As 0.500 0.500 0.500 (multiplicity 1)
I 0.000 0.000 0.500 (multiplicity 1)
N 0.000 0.500 0.000 (multiplicity 2)

- calculated density (g/cm³) = 6.02
- crystal system = tetragonal
- uncorrected formation energy (eV/atom) = 1.0128
- energy above the most stable polymorph in this dataset (meV per atom) = 0.0
- total DFT energy (no corrections) (eV per atom) = -5.6305